# 1
{"formula": "Os", "functional": "GGA-PBE", "state": "relaxed", "lattice": [[5.1249, 0.0000, 0.0000], [0.0000, 4.6620, 0.0000], [-1.3774, 0.0000, 4.9596]], "species": ["Os", "Os", "Os", "Os", "Os", "Os", "Os", "Os"], "frac_coords": [[0.1068, 0.1616, 0.2041], [0.1068, 0.3384, 0.7041], [0.3613, 0.6573, 0.1384], [0.3613, 0.8427, 0.6384], [0.6387, 0.1573, 0.3616], [0.6387, 0.3427, 0.8616], [0.8932, 0.6616, 0.2959], [0.8932, 0.8384, 0.7959]], "delta_e_f_kj_per_mol_atoms": 22.2}

***

# 2
{"formula": "RhW2I", "functional": "GGA-PBE", "state": "relaxed", "lattice": [[-2.9086, 2.9086, 5.9401], [2.9086, -2.9086, 5.9401], [2.9086, 2.9086, -5.9401]], "species": ["Rh", "Rh", "W", "W", "W", "W", "I", "I"], "frac_coords": [[0.0000, 0.0000, 0.0000], [0.7500, 0.2500, 0.5000], [0.0826, 0.6250, 0.9576], [0.3750, 0.3326, 0.4576], [0.6674, 0.1250, 0.0424], [0.8750, 0.9174, 0.5424], [0.2500, 0.7500, 0.5000], [0.5000, 0.5000, 0.0000]], "e_form_raw_mev_per_atom": 1592}

***

# 3
{"formula": "Pu6SnGe2", "functional": "GGA-PBE", "state": "relaxed", "lattice": [[3.8320, 0.0000, 0.0000], [1.1862, 7.2493, 0.0000], [0.0750, 2.5777, 7.0604]], "species": ["Pu", "Pu", "Pu", "Pu", "Pu", "Pu", "Sn", "Ge", "Ge"], "frac_coords": [[0.0140, 0.4111, 0.3511], [0.1127, 0.1536, 0.0178], [0.1813, 0.8947, 0.6715], [0.8187, 0.1053, 0.3285], [0.8873, 0.8464, 0.9822], [0.9860, 0.5889, 0.6489], [0.5000, 0.5000, 0.0000], [0.4195, 0.7750, 0.3227], [0.5805, 0.2250, 0.6773]], "delta_e_f_kj_per_mol_atoms": -28.4}

***

# 4
{"formula": "PuCd5Hg4Sb", "functional": "GGA-PBE", "state": "relaxed", "lattice": [[5.4356, 0.0000, 0.0000], [0.0000, 5.4356, 0.0000], [0.0000, 0.0000, 9.9815]], "species": ["Pu", "Cd", "Cd", "Cd", "Cd", "Cd", "Hg", "Hg", "Hg", "Hg", "Sb"], "frac_coords": [[0.0000, 0.0000, 0.0000], [0.0000, 0.5000, 0.1929], [0.0000, 0.5000, 0.8071], [0.5000, 0.0000, 0.1929], [0.5000, 0.0000, 0.8071], [0.5000, 0.5000, 0.5000], [0.0000, 0.0000, 0.3233], [0.0000, 0.0000, 0.6767], [0.0000, 0.5000, 0.5000], [0.5000, 0.0000, 0.5000], [0.5000, 0.5000, 0.0000]], "e_form_raw_mev_per_atom": 50}

***

no.,total moment (μB per formula unit)
1,0.000
2,0.000
3,10.270
4,5.849